# 1
PBE SmDy2Co2, relaxed; symmetry = C2/m; energy relative to the elements = -55 meV/atom; crystal system = monoclinic; energy above the most stable polymorph in this dataset = 73 meV/atom
1.0
3.751 0.000 0.000
0.000 5.524 0.101
-1.876 -1.482 5.494
Co Sm Dy
2 1 2
Cartesian
0.000 4.118 3.171
1.876 -0.075 2.425
0.000 0.000 0.000
1.876 2.777 1.698
0.000 1.266 3.898

# 2
PBE SmDyCo, relaxed; symmetry = P3m1; energy relative to the elements = -34 meV/atom; crystal system = trigonal; energy above the most stable polymorph in this dataset = 68 meV/atom
1.0
-0.601 -1.098 3.713
-1.346 -2.213 -2.940
5.338 -3.156 -0.069
Co Dy Sm
1 1 1
Cartesian
0.946 -2.532 1.472
1.911 -3.621 -0.761
0.533 -0.315 -0.007

# 3
PBE Sm2Dy5Co4, relaxed; symmetry = C2/m; energy relative to the elements = 50 meV/atom; crystal system = monoclinic
1.0
-2.668 5.918 -0.679
-5.120 0.777 -4.483
-6.263 1.277 4.366
Co Dy Sm
4 5 2
Cartesian
-2.983 2.345 0.783
-11.069 5.628 -1.579
-3.645 1.810 -1.273
-10.406 6.162 0.478
-6.676 5.535 -3.446
-8.666 5.299 2.321
-5.692 1.027 -0.058
-7.376 2.437 2.650
-5.385 2.673 -3.117
-8.824 3.091 -1.135
-5.227 4.881 0.339

# 4
PBE SmDyCo, relaxed; symmetry = C2/m; energy relative to the elements = -63 meV/atom; crystal system = monoclinic; energy above the most stable polymorph in this dataset = 39 meV/atom
1.0
3.394 0.006 0.001
-0.016 6.814 0.039
-1.693 -1.755 6.399
Sm Dy Co
2 2 2
Cartesian
0.390 2.637 2.508
0.390 2.627 5.783
0.382 6.055 2.543
0.397 -0.791 5.748
2.083 4.403 4.146
2.091 0.867 4.146

# 5
PBE SmDy3Co2, relaxed; symmetry = C2/m; energy relative to the elements = -81 meV/atom; crystal system = monoclinic; energy above the most stable polymorph in this dataset = 53 meV/atom
1.0
-2.846 1.200 -2.507
-5.771 -5.970 0.537
-6.695 3.983 6.350
Dy Sm Co
6 2 4
Cartesian
-5.968 2.923 5.018
-3.125 -1.275 -0.219
-4.530 0.910 2.422
-10.781 -1.697 1.958
-9.343 -3.710 -0.638
-12.187 0.488 4.599
-6.932 -1.469 0.853
-8.380 0.682 3.526
-6.682 2.507 2.473
-4.795 -3.127 0.790
-10.516 2.340 3.589
-8.630 -3.294 1.907

# 6
PBE Sm2DyCo, relaxed; symmetry = R-3m; energy relative to the elements = 216 meV/atom; crystal system = trigonal; energy above the most stable polymorph in this dataset = 330 meV/atom
1.0
3.620 0.000 0.000
1.810 3.135 0.000
1.810 1.045 10.427
Co Sm Dy
1 2 1
Cartesian
3.620 2.090 5.213
5.431 3.135 3.516
1.810 1.045 6.911
0.000 0.000 0.000

The following Fermi-level density of states values (in states/eV/f.u.) correspond, in order, to the records above: 4.621 2.730 8.405 2.670 5.559 5.917.